Computed, not measured: a relaxed TmTiZnRh crystal at the PBE level of DFT. Values from VASP.

The structure in Quantum ESPRESSO input format:
```
&SYSTEM
  ibrav = 0, nat = 16, ntyp = 4
/
ATOMIC_SPECIES
Tm 168.93 Tm.upf
Ti 47.87 Ti.upf
Zn 65.41 Zn.upf
Rh 102.91 Rh.upf
CELL_PARAMETERS angstrom
6.591 0.000 0.000
0.000 6.591 0.000
0.000 0.000 6.591
ATOMIC_POSITIONS angstrom
Tm 0.000 0.000 0.000
Tm 0.000 3.295 3.295
Tm 3.295 0.000 3.295
Tm 3.295 3.295 0.000
Ti 0.000 0.000 3.295
Ti 0.000 3.295 0.000
Ti 3.295 0.000 0.000
Ti 3.295 3.295 3.295
Zn 1.648 1.648 4.943
Zn 1.648 4.943 1.648
Zn 4.943 1.648 1.648
Zn 4.943 4.943 4.943
Rh 1.648 1.648 1.648
Rh 1.648 4.943 4.943
Rh 4.943 1.648 4.943
Rh 4.943 4.943 1.648
```

Summary:
Magnetic moment: 0.62 μB per formula unit
Formation enthalpy at 0 K: -429 meV per atom

***

Computed, not measured: a relaxed YIrCl crystal at the PBE level of DFT. Values from VASP.

The structure in Quantum ESPRESSO input format:
```
&SYSTEM
  ibrav = 0, nat = 6, ntyp = 3
/
ATOMIC_SPECIES
Y 88.91 Y.upf
Ir 192.22 Ir.upf
Cl 35.45 Cl.upf
CELL_PARAMETERS angstrom
3.219 0.000 0.000
0.000 3.219 0.000
0.000 0.000 13.610
ATOMIC_POSITIONS angstrom
Y 0.000 0.000 0.000
Y 1.610 1.610 6.805
Ir 0.000 0.000 5.067
Ir 1.610 1.610 11.872
Cl 0.000 0.000 8.617
Cl 1.610 1.610 1.813
```

Summary:
Formation energy without anion corrections: -0.668 eV/atom
Offset from the most stable computed form: 713 meV per atom
Magnetic moment: 0.00 μB per formula unit